1.
16
Lattice="-5.212 -6.536 -1.246 5.012 -5.063 5.599 -3.029 7.318 2.949" Properties=species:S:1:pos:R:3 comment="Pm8SiP3I4, optimized geometry, DFT PBE" space_group="R-3m (166)" formation_energy_uncorrected_ev_per_atom=-1.266 m_tot_mub_per_cell=0.0 pbc="T T T"
I -1.515 3.659 1.474
I 0.000 0.000 0.000
I -2.606 -3.268 -0.623
I -4.121 0.391 0.851
Pm 0.845 -1.615 4.939
Pm 0.003 -3.053 1.521
Pm -1.485 0.609 3.015
Pm -1.745 -4.890 4.287
Pm -0.654 2.006 6.397
Pm -2.576 -6.287 0.905
Pm -3.233 -1.228 5.781
Pm -4.075 -2.666 2.363
P -1.615 -2.141 3.651
P -0.100 -5.800 2.177
P 0.991 1.128 4.274
Si 2.506 -2.532 2.800

***

2.
8
Lattice="4.163 0.000 0.000 0.000 4.572 0.000 0.000 0.000 11.307" Properties=species:S:1:pos:R:3 comment="Ca4Ag3Au, optimized geometry, DFT PBE" space_group="Pmm2 (25)" relative_energy_kj_per_mol_fu=0 formation_enthalpy_0k_ev_per_atom=-0.4494 m_tot_mub_per_cell=0.0 pbc="T T T"
Au 2.082 2.286 0.896
Ag 0.000 0.000 4.789
Ag 0.000 2.286 6.517
Ag 2.082 0.000 10.427
Ca 2.082 2.286 4.000
Ca 0.000 0.000 1.578
Ca 2.082 0.000 7.255
Ca 0.000 2.286 9.766

***

3.
10
Lattice="-2.895 -2.011 1.447 0.498 -3.663 0.924 1.825 0.698 9.638" Properties=species:S:1:pos:R:3 comment="MgNp2O7, optimized geometry, DFT PBE" space_group="R-3m (166)" formation_energy_uncorrected_ev_per_atom=-2.604 m_tot_mub_per_cell=2.0 pbc="T T T"
Mg -0.286 -2.488 6.005
O 0.000 0.000 0.000
O -1.295 -4.585 6.090
O 0.295 -1.914 7.966
O -0.214 -3.519 9.734
O -0.359 -1.457 2.275
O 0.722 -0.390 5.919
O -0.868 -3.062 4.043
Np 1.262 0.142 7.740
Np -1.835 -5.118 4.270

***

4.
20
Lattice="6.470 0.000 0.000 0.000 11.285 -2.643 0.000 -5.094 10.411" Properties=species:S:1:pos:R:3 comment="Nd6Sm3Tl, optimized geometry, DFT PBE" space_group="Cmc2_1 (36)" relative_energy_kj_per_mol_fu=9 formation_enthalpy_0k_ev_per_atom=0.0193 m_tot_mub_per_cell=0.0 pbc="T T T"
Nd 2.195 -1.608 5.280
Nd 5.429 5.505 -0.389
Nd 0.360 5.161 4.566
Nd 1.847 6.543 1.137
Nd 2.195 0.686 8.157
Nd 5.429 7.798 2.489
Nd 5.293 -4.786 10.165
Nd 2.058 10.977 -2.397
Nd 5.082 -0.352 6.631
Nd 0.360 2.892 1.719
Nd 3.594 1.030 3.202
Nd 3.594 3.299 6.049
Sm 6.353 -1.054 2.982
Sm 6.353 3.049 8.131
Sm 0.535 1.691 5.003
Sm 3.118 7.245 4.786
Sm 3.118 3.142 -0.363
Sm 3.770 4.500 2.765
Tl 0.294 -2.541 8.376
Tl 3.529 8.732 -0.608

***

What did the fourth record say?
20
Lattice="6.470 0.000 0.000 0.000 11.285 -2.643 0.000 -5.094 10.411" Properties=species:S:1:pos:R:3 comment="Nd6Sm3Tl, optimized geometry, DFT PBE" space_group="Cmc2_1 (36)" relative_energy_kj_per_mol_fu=9 formation_enthalpy_0k_ev_per_atom=0.0193 m_tot_mub_per_cell=0.0 pbc="T T T"
Nd 2.195 -1.608 5.280
Nd 5.429 5.505 -0.389
Nd 0.360 5.161 4.566
Nd 1.847 6.543 1.137
Nd 2.195 0.686 8.157
Nd 5.429 7.798 2.489
Nd 5.293 -4.786 10.165
Nd 2.058 10.977 -2.397
Nd 5.082 -0.352 6.631
Nd 0.360 2.892 1.719
Nd 3.594 1.030 3.202
Nd 3.594 3.299 6.049
Sm 6.353 -1.054 2.982
Sm 6.353 3.049 8.131
Sm 0.535 1.691 5.003
Sm 3.118 7.245 4.786
Sm 3.118 3.142 -0.363
Sm 3.770 4.500 2.765
Tl 0.294 -2.541 8.376
Tl 3.529 8.732 -0.608